(1)
Below is a relaxed structure of Al2ZnPdF, with properties calculated at the GGA-PBE level.

a b c (Å): 4.8248 4.8248 3.9490
angles (deg): 90.00 90.00 90.00
With the nearest neighbours (Å) after each atom.
Element x y z (fractional)
1 Al 0.0000 0.5000 0.0000  2 Zn 2.41
2 Al 0.5000 0.0000 0.0000  2 Zn 2.41
3 Zn 0.0000 0.0000 0.0000  2 F 1.97
4 Pd 0.5000 0.5000 0.5000  8 Al 3.12, 4 F 3.41
5 F 0.0000 0.0000 0.5000  2 Zn 1.97

ρ = 4.42 Mg/m³
SG = P4/mmm, No. 123
DOS at the Fermi energy = 3.2 states/eV/f.u.
VASP energy = -16.0 eV for the cell shown
energy relative to the elements, uncorrected = -0.038 eV/atom

(2)
Below is a relaxed structure of Na2Ga10Sn, with properties calculated at the GGA-PBE level.

a b c (Å): 6.0938 5.9782 18.0404
angles (deg): 90.00 90.29 90.00
With the nearest neighbours (Å) after each atom.
Element x y z (fractional)
1 Na 0.0013 0.1134 0.1668  8 Ga 3.28-3.64
2 Na 0.0013 0.3866 0.6668  8 Ga 3.28-3.64
3 Na 0.9987 0.6134 0.3332  8 Ga 3.28-3.64
4 Na 0.9987 0.8866 0.8332  8 Ga 3.28-3.64
5 Ga 0.2023 0.1182 0.3822  3 Ga 2.47-2.64
6 Ga 0.2023 0.3818 0.8822  3 Ga 2.47-2.64
7 Ga 0.2035 0.6183 0.1172  3 Ga 2.47-2.64
8 Ga 0.2035 0.8817 0.6172  3 Ga 2.47-2.64
9 Ga 0.4985 0.2177 0.7910  4 Ga 2.52-2.68
10 Ga 0.4985 0.2823 0.2910  4 Ga 2.52-2.68
11 Ga 0.4995 0.5515 0.5711  5 Ga 2.62-2.81
12 Ga 0.4990 0.6871 0.8484  4 Ga 2.52-2.64
13 Ga 0.4990 0.8129 0.3484  4 Ga 2.52-2.64
14 Ga 0.4995 0.9485 0.0711  5 Ga 2.62-2.81
15 Ga 0.5005 0.0515 0.9289  5 Ga 2.62-2.81
16 Ga 0.5010 0.1871 0.6516  4 Ga 2.52-2.64
17 Ga 0.5010 0.3129 0.1516  4 Ga 2.52-2.64
18 Ga 0.5005 0.4485 0.4289  5 Ga 2.62-2.81
19 Ga 0.5015 0.7177 0.7090  4 Ga 2.52-2.68
20 Ga 0.5015 0.7823 0.2090  4 Ga 2.52-2.68
21 Ga 0.7965 0.1183 0.3828  3 Ga 2.47-2.64
22 Ga 0.7965 0.3817 0.8828  3 Ga 2.47-2.64
23 Ga 0.7977 0.6182 0.1178  3 Ga 2.47-2.64
24 Ga 0.7977 0.8818 0.6178  3 Ga 2.47-2.64
25 Sn 0.5000 0.0000 0.5000  8 Ga 2.87-2.97
26 Sn 0.5000 0.5000 0.0000  8 Ga 2.87-2.97

ρ = 4.36 Mg/m³
SG = P2_1/c, No. 14
DOS at the Fermi energy = 4.4 states/eV/f.u.
VASP energy = -73.2 eV for the cell shown
ΔE_f = 0.02 eV per atom